Entry 1:
The following is a DFT calculation (PBE-GGA) of a relaxed structure of LiNiB.

a = 3.931 Å, b = 7.561 Å, c = 8.822 Å
α = 90.00°, β = 93.34°, γ = 90.00°
Space group P2_1/c (No. 14)
Symmetry-distinct sites (fractional):
Li (0.000, 0.000, 0.000)
Li (0.000, 0.000, 0.500)
Li (0.500, 0.249, 0.008)
Ni (0.117, 0.749, 0.242)
Ni (0.380, 0.047, 0.756)
B (0.122, 0.011, 0.252)
B (0.382, 0.189, 0.257)

Entry 2:
The following is a DFT calculation (PBE-GGA) of a relaxed structure of LiNi3B2.

Properties
relative energy among the computed polymorphs	0.053	eV per atom

a = 5.952 Å, b = 8.268 Å, c = 4.790 Å
α = 90.00°, β = 90.00°, γ = 90.00°
Space group Imma (No. 74)
Symmetry-distinct sites (fractional):
Li (0.000, 0.250, 0.239)
Ni (0.202, 0.000, 0.500)
Ni (0.250, 0.250, 0.750)
B (0.000, 0.063, 0.830)

Entry 3:
The following is a DFT calculation (PBE-GGA) of a relaxed structure of LiNiB.

a = 4.897 Å, b = 4.897 Å, c = 4.897 Å
α = 90.00°, β = 90.00°, γ = 90.00°
Space group F-43m (No. 216)
Symmetry-distinct sites (fractional):
Li (0.000, 0.000, 0.000)
Ni (0.000, 0.000, 0.500)
B (0.250, 0.250, 0.250)

Entry 4:
The following is a DFT calculation (PBE-GGA) of a relaxed structure of LiNi2B2.

Properties
relative energy among the computed polymorphs	0.000	eV per atom

a = 7.055 Å, b = 4.851 Å, c = 6.222 Å
α = 90.00°, β = 114.03°, γ = 90.00°
Space group P2_1/c (No. 14)
Symmetry-distinct sites (fractional):
Li (0.024, 0.235, 0.377)
Ni (0.321, 0.000, 0.219)
Ni (0.327, 0.503, 0.317)
B (0.322, 0.674, 0.017)
B (0.378, 0.183, 0.542)

Entry 5:
The following is a DFT calculation (PBE-GGA) of a relaxed structure of LiNi2B2.

Properties
relative energy among the computed polymorphs	0.010	eV per atom

a = 3.466 Å, b = 3.466 Å, c = 7.848 Å
α = 90.00°, β = 90.00°, γ = 90.00°
Space group I4/mmm (No. 139)
Symmetry-distinct sites (fractional):
Li (0.000, 0.000, 0.000)
Ni (0.000, 0.500, 0.250)
B (0.000, 0.000, 0.390)

Entry 6:
The following is a DFT calculation (PBE-GGA) of a relaxed structure of LiNi3B.

Properties
relative energy among the computed polymorphs	0.062	eV per atom

a = 5.396 Å, b = 7.611 Å, c = 5.395 Å
α = 90.00°, β = 90.00°, γ = 90.00°
Space group Imma (No. 74)
Symmetry-distinct sites (fractional):
Li (0.000, 0.250, 0.006)
Ni (0.000, 0.250, 0.505)
Ni (0.250, 0.001, 0.750)
B (0.000, 0.000, 0.500)

Number 1: electronic total energy -120.6 eV per cell, theoretical density 3.88 Mg/m³. Number 2: electronic total energy -134.8 eV per cell, theoretical density 5.77 Mg/m³. Number 3: electronic total energy -54.6 eV per cell, theoretical density 4.32 Mg/m³. Number 4: electronic total energy -110.2 eV per cell, theoretical density 4.98 Mg/m³. Number 5: electronic total energy -55.0 eV per cell, theoretical density 5.14 Mg/m³. Number 6: electronic total energy -104.1 eV per cell, theoretical density 5.81 Mg/m³.